# 1
The following is a DFT calculation (GGA-PBE) of SiSb2Se after structural relaxation.

**Distance to the lowest polymorph of the same formula**: 241 meV per atom
**Formation energy without anion corrections**: 124 kJ/mol of formula units

Geometry as CIF:
```
data_SiSb2Se
_chemical_formula_sum 'Si2 Sb4 Se2'
_cell_length_a 4.784
_cell_length_b 5.132
_cell_length_c 7.348
_cell_angle_alpha 90.00
_cell_angle_beta 90.00
_cell_angle_gamma 90.00
_symmetry_space_group_name_H-M 'C m m m'
_symmetry_Int_Tables_number 65
_symmetry_space_group_name_Hall '-C 2 2'
loop_
_atom_site_label
_atom_site_fract_x
_atom_site_fract_y
_atom_site_fract_z
Si1 0.000 0.000 0.000
Sb1 0.000 0.500 0.230
Se1 0.000 0.000 0.500
```


# 2
The following is a DFT calculation (GGA-PBE) of TbDyZnGa after structural relaxation.

Geometry as CIF:
```
data_TbDyZnGa
_chemical_formula_sum 'Tb4 Dy4 Zn4 Ga4'
_cell_length_a 7.159
_cell_length_b 7.159
_cell_length_c 7.159
_cell_angle_alpha 90.00
_cell_angle_beta 90.00
_cell_angle_gamma 90.00
_symmetry_space_group_name_H-M 'F -4 3 m'
_symmetry_Int_Tables_number 216
_symmetry_space_group_name_Hall 'F -4 2 3'
loop_
_atom_site_label
_atom_site_fract_x
_atom_site_fract_y
_atom_site_fract_z
Tb1 0.000 0.000 0.000
Dy1 0.000 0.000 0.500
Zn1 0.250 0.250 0.250
Ga1 0.250 0.250 0.750
```


# 3
The following is a DFT calculation (GGA-PBE) of Li2PrInI6 after structural relaxation.

**Formation energy without anion corrections**: -1067 kJ/mol of formula units

Geometry as CIF:
```
data_Li2PrInI6
_chemical_formula_sum 'Li6 Pr3 In3 I18'
_cell_length_a 7.9314
_cell_length_b 7.9314
_cell_length_c 21.6213
_cell_angle_alpha 90.00
_cell_angle_beta 90.00
_cell_angle_gamma 120.00
_symmetry_space_group_name_H-M 'R 3'
_symmetry_Int_Tables_number 146
_symmetry_space_group_name_Hall 'R 3'
loop_
_atom_site_label
_atom_site_fract_x
_atom_site_fract_y
_atom_site_fract_z
Li1 0.0000 0.0000 0.0000
Li2 0.0000 0.0000 0.4974
Pr1 0.0000 0.0000 0.6847
In1 0.0000 0.0000 0.1958
I1 0.0003 0.3536 0.7519
I2 0.0051 0.6035 0.2553
```


# 4
The following is a DFT calculation (GGA-PBE) of NiMoC after structural relaxation.

**Distance to the lowest polymorph of the same formula**: 119 meV per atom

Geometry as CIF:
```
data_NiMoC
_chemical_formula_sum 'Ni6 Mo6 C6'
_cell_length_a 3.0331
_cell_length_b 3.0331
_cell_length_c 25.2526
_cell_angle_alpha 90.00
_cell_angle_beta 90.00
_cell_angle_gamma 120.00
_symmetry_space_group_name_H-M 'R -3 m'
_symmetry_Int_Tables_number 166
_symmetry_space_group_name_Hall '-R 3 2"'
loop_
_atom_site_label
_atom_site_fract_x
_atom_site_fract_y
_atom_site_fract_z
Ni1 0.0000 0.0000 0.1296
Mo1 0.0000 0.0000 0.3813
C1 0.0000 0.0000 0.2398
```


| no. | VASP energy (eV per atom) |
| --- | --- |
| 1 | -3.97 |
| 2 | -3.86 |
| 3 | -3.17 |
| 4 | -8.44 |